Entry 1:
# La10Bi3Te3 (PBE, optimized geometry)
# SG: No. 189
# DOS at the Fermi energy (states/eV/cell): 15.1
# Magnetic moment (Bohr magnetons per cell): 0.429
# Formation energy (no corrections) (kJ per mole of atoms): -96.3
data_La10Bi3Te3
_cell_length_a 9.630
_cell_length_b 9.630
_cell_length_c 6.642
_cell_angle_alpha 90.00
_cell_angle_beta 90.00
_cell_angle_gamma 120.00
_symmetry_space_group_name_H-M 'P 1'
_symmetry_Int_Tables_number 1
loop_
_symmetry_equiv_pos_as_xyz
'x,y,z'
loop_
_atom_site_label
_atom_site_type_symbol
_atom_site_fract_x
_atom_site_fract_y
_atom_site_fract_z
_atom_site_occupancy
La1 La 0.000 0.255 0.000 1
La2 La 0.000 0.745 0.500 1
La3 La 0.255 0.000 0.000 1
La4 La 0.255 0.255 0.500 1
La5 La 0.333 0.667 0.251 1
La6 La 0.333 0.667 0.749 1
La7 La 0.667 0.333 0.251 1
La8 La 0.667 0.333 0.749 1
La9 La 0.745 0.000 0.500 1
La10 La 0.745 0.745 0.000 1
Bi1 Bi 0.000 0.614 0.000 1
Bi2 Bi 0.386 0.386 0.000 1
Bi3 Bi 0.614 0.000 0.000 1
Te1 Te 0.000 0.383 0.500 1
Te2 Te 0.383 0.000 0.500 1
Te3 Te 0.617 0.617 0.500 1

***

Entry 2:
# La5Bi2Te2 (PBE, optimized geometry)
# SG: No. 64
# DOS at the Fermi energy (states/eV/cell): 19.5
# Magnetic moment (Bohr magnetons per cell): 0.001
# Formation energy (no corrections) (kJ per mole of atoms): -109.0
data_La5Bi2Te2
_cell_length_a 9.221
_cell_length_b 9.221
_cell_length_c 8.683
_cell_angle_alpha 90.00
_cell_angle_beta 90.00
_cell_angle_gamma 55.60
_symmetry_space_group_name_H-M 'P 1'
_symmetry_Int_Tables_number 1
loop_
_symmetry_equiv_pos_as_xyz
'x,y,z'
loop_
_atom_site_label
_atom_site_type_symbol
_atom_site_fract_x
_atom_site_fract_y
_atom_site_fract_z
_atom_site_occupancy
La1 La 0.000 0.000 0.000 1
La2 La 0.025 0.708 0.658 1
La3 La 0.208 0.525 0.158 1
La4 La 0.292 0.975 0.658 1
La5 La 0.475 0.792 0.158 1
La6 La 0.500 0.500 0.500 1
La7 La 0.525 0.208 0.842 1
La8 La 0.708 0.025 0.342 1
La9 La 0.792 0.475 0.842 1
La10 La 0.975 0.292 0.342 1
Bi1 Bi 0.201 0.201 0.000 1
Bi2 Bi 0.299 0.299 0.500 1
Bi3 Bi 0.701 0.701 0.500 1
Bi4 Bi 0.799 0.799 0.000 1
Te1 Te 0.144 0.856 0.355 1
Te2 Te 0.356 0.644 0.855 1
Te3 Te 0.644 0.356 0.145 1
Te4 Te 0.856 0.144 0.645 1

***

Entry 3:
# LaBi2Te4 (PBE, optimized geometry)
# SG: No. 63
# DOS at the Fermi energy (states/eV/cell): 5.2
# Magnetic moment (Bohr magnetons per cell): 0.000
# Formation energy (no corrections) (kJ per mole of atoms): -57.4
data_LaBi2Te4
_cell_length_a 7.586
_cell_length_b 7.586
_cell_length_c 14.821
_cell_angle_alpha 90.00
_cell_angle_beta 90.00
_cell_angle_gamma 143.67
_symmetry_space_group_name_H-M 'P 1'
_symmetry_Int_Tables_number 1
loop_
_symmetry_equiv_pos_as_xyz
'x,y,z'
loop_
_atom_site_label
_atom_site_type_symbol
_atom_site_fract_x
_atom_site_fract_y
_atom_site_fract_z
_atom_site_occupancy
La1 La 0.123 0.877 0.750 1
La2 La 0.877 0.123 0.250 1
Bi1 Bi 0.371 0.629 0.562 1
Bi2 Bi 0.371 0.629 0.938 1
Bi3 Bi 0.629 0.371 0.062 1
Bi4 Bi 0.629 0.371 0.438 1
Te1 Te 0.000 0.000 0.000 1
Te2 Te 0.000 0.000 0.500 1
Te3 Te 0.274 0.726 0.123 1
Te4 Te 0.274 0.726 0.377 1
Te5 Te 0.472 0.528 0.750 1
Te6 Te 0.528 0.472 0.250 1
Te7 Te 0.726 0.274 0.623 1
Te8 Te 0.726 0.274 0.877 1

***

Entry 4:
# La4BiTe3 (PBE, optimized geometry)
# SG: No. 166
# DOS at the Fermi energy (states/eV/cell): 4.9
# Magnetic moment (Bohr magnetons per cell): 0.000
# Formation energy (no corrections) (kJ per mole of atoms): -141.8
data_La4BiTe3
_cell_length_a 15.217
_cell_length_b 15.217
_cell_length_c 15.217
_cell_angle_alpha 17.49
_cell_angle_beta 17.49
_cell_angle_gamma 17.49
_symmetry_space_group_name_H-M 'P 1'
_symmetry_Int_Tables_number 1
loop_
_symmetry_equiv_pos_as_xyz
'x,y,z'
loop_
_atom_site_label
_atom_site_type_symbol
_atom_site_fract_x
_atom_site_fract_y
_atom_site_fract_z
_atom_site_occupancy
La1 La 0.124 0.124 0.124 1
La2 La 0.374 0.374 0.374 1
La3 La 0.626 0.626 0.626 1
La4 La 0.876 0.876 0.876 1
Bi1 Bi 0.500 0.500 0.500 1
Te1 Te 0.000 0.000 0.000 1
Te2 Te 0.251 0.251 0.251 1
Te3 Te 0.749 0.749 0.749 1

***

Entry 5:
# La4BiTe2 (PBE, optimized geometry)
# SG: No. 63
# DOS at the Fermi energy (states/eV/cell): 12.5
# Magnetic moment (Bohr magnetons per cell): 1.106
# Formation energy (no corrections) (kJ per mole of atoms): -109.5
data_La4BiTe2
_cell_length_a 7.751
_cell_length_b 7.751
_cell_length_c 15.216
_cell_angle_alpha 90.00
_cell_angle_beta 90.00
_cell_angle_gamma 146.34
_symmetry_space_group_name_H-M 'P 1'
_symmetry_Int_Tables_number 1
loop_
_symmetry_equiv_pos_as_xyz
'x,y,z'
loop_
_atom_site_label
_atom_site_type_symbol
_atom_site_fract_x
_atom_site_fract_y
_atom_site_fract_z
_atom_site_occupancy
La1 La 0.000 0.000 0.000 1
La2 La 0.000 0.000 0.500 1
La3 La 0.279 0.721 0.628 1
La4 La 0.279 0.721 0.872 1
La5 La 0.440 0.560 0.250 1
La6 La 0.560 0.440 0.750 1
La7 La 0.721 0.279 0.128 1
La8 La 0.721 0.279 0.372 1
Bi1 Bi 0.100 0.900 0.250 1
Bi2 Bi 0.900 0.100 0.750 1
Te1 Te 0.359 0.641 0.061 1
Te2 Te 0.359 0.641 0.439 1
Te3 Te 0.641 0.359 0.561 1
Te4 Te 0.641 0.359 0.939 1

***

Entry 6:
# La4BiTe2 (PBE, optimized geometry)
# SG: No. 139
# DOS at the Fermi energy (states/eV/cell): 8.3
# Magnetic moment (Bohr magnetons per cell): 0.000
# Formation energy (no corrections) (kJ per mole of atoms): -58.4
data_La4BiTe2
_cell_length_a 9.114
_cell_length_b 9.114
_cell_length_c 9.114
_cell_angle_alpha 141.05
_cell_angle_beta 141.05
_cell_angle_gamma 56.26
_symmetry_space_group_name_H-M 'P 1'
_symmetry_Int_Tables_number 1
loop_
_symmetry_equiv_pos_as_xyz
'x,y,z'
loop_
_atom_site_label
_atom_site_type_symbol
_atom_site_fract_x
_atom_site_fract_y
_atom_site_fract_z
_atom_site_occupancy
La1 La 0.000 0.500 0.500 1
La2 La 0.201 0.201 0.000 1
La3 La 0.500 0.000 0.500 1
La4 La 0.799 0.799 0.000 1
Bi1 Bi 0.000 0.000 0.000 1
Te1 Te 0.391 0.391 0.000 1
Te2 Te 0.609 0.609 0.000 1

***

Entry 7:
# LaBi3Te (PBE, optimized geometry)
# SG: No. 221
# DOS at the Fermi energy (states/eV/cell): 7.9
# Magnetic moment (Bohr magnetons per cell): 1.470
# Formation energy (no corrections) (kJ per mole of atoms): 59.4
data_LaBi3Te
_cell_length_a 6.158
_cell_length_b 6.158
_cell_length_c 6.158
_cell_angle_alpha 90.00
_cell_angle_beta 90.00
_cell_angle_gamma 90.00
_symmetry_space_group_name_H-M 'P 1'
_symmetry_Int_Tables_number 1
loop_
_symmetry_equiv_pos_as_xyz
'x,y,z'
loop_
_atom_site_label
_atom_site_type_symbol
_atom_site_fract_x
_atom_site_fract_y
_atom_site_fract_z
_atom_site_occupancy
La1 La 0.000 0.000 0.000 1
Bi1 Bi 0.000 0.000 0.500 1
Bi2 Bi 0.000 0.500 0.000 1
Bi3 Bi 0.500 0.000 0.000 1
Te1 Te 0.500 0.500 0.500 1

***

Entry 8:
# LaBi2Te2 (PBE, optimized geometry)
# SG: No. 127
# DOS at the Fermi energy (states/eV/cell): 5.2
# Magnetic moment (Bohr magnetons per cell): 0.000
# Formation energy (no corrections) (kJ per mole of atoms): -50.9
data_LaBi2Te2
_cell_length_a 8.543
_cell_length_b 8.543
_cell_length_c 4.598
_cell_angle_alpha 90.00
_cell_angle_beta 90.00
_cell_angle_gamma 90.00
_symmetry_space_group_name_H-M 'P 1'
_symmetry_Int_Tables_number 1
loop_
_symmetry_equiv_pos_as_xyz
'x,y,z'
loop_
_atom_site_label
_atom_site_type_symbol
_atom_site_fract_x
_atom_site_fract_y
_atom_site_fract_z
_atom_site_occupancy
La1 La 0.000 0.000 0.000 1
La2 La 0.500 0.500 0.000 1
Bi1 Bi 0.174 0.326 0.500 1
Bi2 Bi 0.326 0.826 0.500 1
Bi3 Bi 0.674 0.174 0.500 1
Bi4 Bi 0.826 0.674 0.500 1
Te1 Te 0.156 0.656 0.000 1
Te2 Te 0.344 0.156 0.000 1
Te3 Te 0.656 0.844 0.000 1
Te4 Te 0.844 0.344 0.000 1

***

Entry 9:
# La3Bi5Te12 (PBE, optimized geometry)
# SG: No. 230
# Magnetic moment (Bohr magnetons per cell): 0.000
# Formation energy (no corrections) (kJ per mole of atoms): -59.1
data_La3Bi5Te12
_cell_length_a 16.142
_cell_length_b 16.142
_cell_length_c 16.142
_cell_angle_alpha 109.47
_cell_angle_beta 109.47
_cell_angle_gamma 109.47
_symmetry_space_group_name_H-M 'P 1'
_symmetry_Int_Tables_number 1
loop_
_symmetry_equiv_pos_as_xyz
'x,y,z'
loop_
_atom_site_label
_atom_site_type_symbol
_atom_site_fract_x
_atom_site_fract_y
_atom_site_fract_z
_atom_site_occupancy
La1 La 0.125 0.250 0.375 1
La2 La 0.125 0.375 0.750 1
La3 La 0.250 0.375 0.125 1
La4 La 0.250 0.875 0.625 1
La5 La 0.375 0.125 0.250 1
La6 La 0.375 0.750 0.125 1
La7 La 0.625 0.250 0.875 1
La8 La 0.625 0.875 0.750 1
La9 La 0.750 0.125 0.375 1
La10 La 0.750 0.625 0.875 1
La11 La 0.875 0.625 0.250 1
La12 La 0.875 0.750 0.625 1
Bi1 Bi 0.000 0.000 0.000 1
Bi2 Bi 0.000 0.000 0.500 1
Bi3 Bi 0.000 0.500 0.000 1
Bi4 Bi 0.000 0.500 0.500 1
Bi5 Bi 0.125 0.750 0.875 1
Bi6 Bi 0.125 0.875 0.250 1
Bi7 Bi 0.250 0.125 0.875 1
Bi8 Bi 0.250 0.625 0.375 1
Bi9 Bi 0.375 0.250 0.625 1
Bi10 Bi 0.375 0.625 0.750 1
Bi11 Bi 0.500 0.000 0.000 1
Bi12 Bi 0.500 0.000 0.500 1
Bi13 Bi 0.500 0.500 0.000 1
Bi14 Bi 0.500 0.500 0.500 1
Bi15 Bi 0.625 0.375 0.250 1
Bi16 Bi 0.625 0.750 0.375 1
Bi17 Bi 0.750 0.375 0.625 1
Bi18 Bi 0.750 0.875 0.125 1
Bi19 Bi 0.875 0.125 0.750 1
Bi20 Bi 0.875 0.250 0.125 1
Te1 Te 0.053 0.222 0.138 1
Te2 Te 0.053 0.332 0.915 1
Te3 Te 0.084 0.722 0.668 1
Te4 Te 0.084 0.862 0.415 1
Te5 Te 0.085 0.638 0.416 1
Te6 Te 0.085 0.947 0.668 1
Te7 Te 0.138 0.053 0.222 1
Te8 Te 0.138 0.585 0.916 1
Te9 Te 0.168 0.222 0.584 1
Te10 Te 0.168 0.447 0.585 1
Te11 Te 0.222 0.138 0.053 1
Te12 Te 0.222 0.584 0.168 1
Te13 Te 0.278 0.332 0.916 1
Te14 Te 0.278 0.447 0.362 1
Te15 Te 0.332 0.915 0.053 1
Te16 Te 0.332 0.916 0.278 1
Te17 Te 0.362 0.278 0.447 1
Te18 Te 0.362 0.584 0.915 1
Te19 Te 0.415 0.084 0.862 1
Te20 Te 0.415 0.832 0.553 1
Te21 Te 0.416 0.085 0.638 1
Te22 Te 0.416 0.832 0.778 1
Te23 Te 0.447 0.362 0.278 1
Te24 Te 0.447 0.585 0.168 1
Te25 Te 0.553 0.415 0.832 1
Te26 Te 0.553 0.638 0.722 1
Te27 Te 0.584 0.168 0.222 1
Te28 Te 0.584 0.915 0.362 1
Te29 Te 0.585 0.168 0.447 1
Te30 Te 0.585 0.916 0.138 1
Te31 Te 0.638 0.416 0.085 1
Te32 Te 0.638 0.722 0.553 1
Te33 Te 0.668 0.084 0.722 1
Te34 Te 0.668 0.085 0.947 1
Te35 Te 0.722 0.553 0.638 1
Te36 Te 0.722 0.668 0.084 1
Te37 Te 0.778 0.416 0.832 1
Te38 Te 0.778 0.862 0.947 1
Te39 Te 0.832 0.553 0.415 1
Te40 Te 0.832 0.778 0.416 1
Te41 Te 0.862 0.415 0.084 1
Te42 Te 0.862 0.947 0.778 1
Te43 Te 0.915 0.053 0.332 1
Te44 Te 0.915 0.362 0.584 1
Te45 Te 0.916 0.138 0.585 1
Te46 Te 0.916 0.278 0.332 1
Te47 Te 0.947 0.668 0.085 1
Te48 Te 0.947 0.778 0.862 1